TbNdDy2: relaxed, PBE-GGA.

ΔE to the lowest computed polymorph = 0.0190 eV per atom
Formation energy = 0.02 eV per atom
Crystal system = trigonal

Lattice parameters (Å, degrees): 3.5816 3.5816 34.9878 90.00 90.00 120.00
Space group R-3m (No. 166, hexagonal axes)
Symmetry-distinct sites (fractional):
Tb 0.0000 0.0000 0.0000 x3
Nd 0.0000 0.0000 0.5000 x3
Dy 0.0000 0.0000 0.2511 x6